! PrEu2Er, relaxed, DFT PBE; values from VASP
! Energy relative to the elements = 35 kJ/mol of formula units
! Uncorrected energy = -7.381 eV per atom
! N(E_F) = 5.42 states/eV per cell
! Total magnetic moment = 15.23 μB/cell
! ΔE to the lowest computed polymorph = 0.000 eV per atom
&SYSTEM
  ibrav = 0, nat = 4, ntyp = 3
/
ATOMIC_SPECIES
Pr 140.91 Pr.upf
Eu 151.96 Eu.upf
Er 167.26 Er.upf
CELL_PARAMETERS angstrom
1.8497 1.0679 12.2661
-1.8497 1.0679 12.2661
0.0000 -2.1359 12.2661
ATOMIC_POSITIONS crystal
Pr 0.0000 0.0000 0.0000
Eu 0.2479 0.2479 0.2479
Eu 0.7521 0.7521 0.7521
Er 0.5000 0.5000 0.5000

! RbNa3Sc, relaxed, DFT PBE; values from VASP
! Energy relative to the elements = 435 kJ/mol of formula units
! Uncorrected energy = -1.350 eV per atom
! N(E_F) = 11.00 states/eV per cell
! Total magnetic moment = 1.50 μB/cell
! ΔE to the lowest computed polymorph = 0.291 eV per atom
&SYSTEM
  ibrav = 0, nat = 5, ntyp = 3
/
ATOMIC_SPECIES
Rb 85.47 Rb.upf
Na 22.99 Na.upf
Sc 44.96 Sc.upf
CELL_PARAMETERS angstrom
6.0842 0.0000 0.0000
0.0000 6.0842 0.0000
0.0000 0.0000 6.0842
ATOMIC_POSITIONS crystal
Rb 0.0000 0.0000 0.0000
Na 0.0000 0.0000 0.5000
Na 0.0000 0.5000 0.0000
Na 0.5000 0.0000 0.0000
Sc 0.5000 0.5000 0.5000

! K4Pa3PbO12, relaxed, DFT PBE; values from VASP
! Uncorrected energy = -7.387 eV per atom
! N(E_F) = 19.75 states/eV per cell
! Total magnetic moment = 0.00 μB/cell
! Formation energy without anion corrections = -2.583 eV per atom
&SYSTEM
  ibrav = 0, nat = 20, ntyp = 4
/
ATOMIC_SPECIES
K 39.10 K.upf
Pa 231.04 Pa.upf
Pb 207.20 Pb.upf
O 16.00 O.upf
CELL_PARAMETERS angstrom
-4.3655 4.3655 4.3655
4.3655 -4.3655 4.3655
4.3655 4.3655 -4.3655
ATOMIC_POSITIONS crystal
K 0.0000 0.0000 0.5000
K 0.0000 0.5000 0.0000
K 0.5000 0.0000 0.0000
K 0.5000 0.5000 0.5000
Pa 0.0000 0.5000 0.5000
Pa 0.5000 0.0000 0.5000
Pa 0.5000 0.5000 0.0000
Pb 0.0000 0.0000 0.0000
O 0.0000 0.2556 0.2556
O 0.0000 0.7444 0.7444
O 0.2500 0.5000 0.7500
O 0.2500 0.7500 0.5000
O 0.2556 0.0000 0.2556
O 0.2556 0.2556 0.0000
O 0.5000 0.2500 0.7500
O 0.5000 0.7500 0.2500
O 0.7444 0.0000 0.7444
O 0.7444 0.7444 0.0000
O 0.7500 0.2500 0.5000
O 0.7500 0.5000 0.2500

! MnZnSi, relaxed, DFT PBE; values from VASP
! Uncorrected energy = -5.210 eV per atom
! N(E_F) = 1.51 states/eV per cell
! Total magnetic moment = 2.65 μB/cell
! Formation energy without anion corrections = 0.079 eV per atom
&SYSTEM
  ibrav = 0, nat = 3, ntyp = 3
/
ATOMIC_SPECIES
Mn 54.94 Mn.upf
Zn 65.41 Zn.upf
Si 28.09 Si.upf
CELL_PARAMETERS angstrom
0.0000 2.0171 5.6479
1.7873 0.0000 5.6479
1.7873 2.0171 0.0000
ATOMIC_POSITIONS crystal
Mn 0.0000 0.0000 0.0000
Zn 0.6703 0.6703 0.3297
Si 0.3553 0.3553 0.6447

N(E_F) of number 3 (K4Pa3PbO12)? 19.75 states/eV per cell